No. 1
Compound: TlCd7
Source: Alexandria
Functional: GGA-PBE
Structure: optimized geometry

formation energy: 0.03 eV/atom
final energy: -1.062 eV/atom

CIF file:
```
data_TlCd7
_chemical_formula_sum 'Tl2 Cd14'
_space_group_name_H-M_alt 'I 4/m m m'
_space_group_IT_number 139
_space_group_name_Hall '-I 4 2'
_cell_length_a 4.5244
_cell_length_b 4.5244
_cell_length_c 18.5761
_cell_angle_alpha 90.00
_cell_angle_beta 90.00
_cell_angle_gamma 90.00
loop_
_atom_site_label
_atom_site_type_symbol
_atom_site_fract_x
_atom_site_fract_y
_atom_site_fract_z
_atom_site_occupancy
Tl1 Tl 0.0000 0.0000 0.0000 1
Cd1 Cd 0.0000 0.0000 0.2489 1
Cd2 Cd 0.0000 0.0000 0.5000 1
Cd3 Cd 0.0000 0.5000 0.1302 1
```


No. 2
Compound: TlCd
Source: Alexandria
Functional: GGA-PBE
Structure: optimized geometry

formation energy: 0.07 eV/atom
final energy: -1.575 eV/atom

CIF file:
```
data_TlCd
_chemical_formula_sum 'Tl6 Cd6'
_space_group_name_H-M_alt 'R -3 m'
_space_group_IT_number 166
_space_group_name_Hall '-R 3 2"'
_cell_length_a 5.0832
_cell_length_b 5.0832
_cell_length_c 15.0122
_cell_angle_alpha 90.00
_cell_angle_beta 90.00
_cell_angle_gamma 120.00
loop_
_atom_site_label
_atom_site_type_symbol
_atom_site_fract_x
_atom_site_fract_y
_atom_site_fract_z
_atom_site_occupancy
Tl1 Tl 0.0000 0.0000 0.1175 1
Cd1 Cd 0.0000 0.0000 0.3634 1
```


No. 3
Compound: TlCd
Source: Alexandria
Functional: GGA-PBE
Structure: optimized geometry

formation energy: 0.14 eV/atom
final energy: -1.504 eV/atom

CIF file:
```
data_TlCd
_chemical_formula_sum 'Tl4 Cd4'
_space_group_name_H-M_alt 'F m -3 m'
_space_group_IT_number 225
_space_group_name_Hall '-F 4 2 3'
_cell_length_a 6.2500
_cell_length_b 6.2500
_cell_length_c 6.2500
_cell_angle_alpha 90.00
_cell_angle_beta 90.00
_cell_angle_gamma 90.00
loop_
_atom_site_label
_atom_site_type_symbol
_atom_site_fract_x
_atom_site_fract_y
_atom_site_fract_z
_atom_site_occupancy
Tl1 Tl 0.0000 0.0000 0.0000 1
Cd1 Cd 0.0000 0.0000 0.5000 1
```


No. 4
Compound: TlCd
Source: Alexandria
Functional: GGA-PBE
Structure: optimized geometry

formation energy: 0.06 eV/atom
final energy: -1.584 eV/atom

CIF file:
```
data_TlCd
_chemical_formula_sum 'Tl8 Cd8'
_space_group_name_H-M_alt 'I 4/m'
_space_group_IT_number 87
_space_group_name_Hall '-I 4'
_cell_length_a 11.8887
_cell_length_b 11.8887
_cell_length_c 3.2023
_cell_angle_alpha 90.00
_cell_angle_beta 90.00
_cell_angle_gamma 90.00
loop_
_atom_site_label
_atom_site_type_symbol
_atom_site_fract_x
_atom_site_fract_y
_atom_site_fract_z
_atom_site_occupancy
Tl1 Tl 0.1155 0.1676 0.0000 1
Cd1 Cd 0.0896 0.6319 0.0000 1
```


No. 5
Compound: Tl3Cd13
Source: Alexandria
Functional: GGA-PBE
Structure: optimized geometry

formation energy: 0.04 eV/atom
final energy: -1.147 eV/atom

CIF file:
```
data_Tl3Cd13
_chemical_formula_sum 'Tl6 Cd26'
_space_group_name_H-M_alt 'A m m 2'
_space_group_IT_number 38
_cell_length_a 6.1220
_cell_length_b 11.4145
_cell_length_c 11.3643
_cell_angle_alpha 90.00
_cell_angle_beta 90.00
_cell_angle_gamma 90.00
loop_
_space_group_symop_operation_xyz
'x,y,z'
'-x,-y,z'
'-x,y,z'
'x,-y,z'
'x,y+1/2,z+1/2'
'-x,-y+1/2,z+1/2'
'-x,y+1/2,z+1/2'
'x,-y+1/2,z+1/2'
loop_
_atom_site_label
_atom_site_type_symbol
_atom_site_fract_x
_atom_site_fract_y
_atom_site_fract_z
_atom_site_occupancy
Tl1 Tl 0.0000 0.0000 0.0000 1
Tl2 Tl 0.2512 0.0000 0.2656 1
Cd1 Cd 0.0000 0.0000 0.5202 1
Cd2 Cd 0.0000 0.2385 0.7604 1
Cd3 Cd 0.2509 0.0000 0.7540 1
Cd4 Cd 0.2518 0.2435 0.5101 1
Cd5 Cd 0.5000 0.0000 0.5209 1
Cd6 Cd 0.5000 0.0000 0.9957 1
Cd7 Cd 0.5000 0.2375 0.7618 1
```


No. 6
Compound: TlCd4
Source: Alexandria
Functional: GGA-PBE
Structure: optimized geometry

formation energy: 0.04 eV/atom
final energy: -1.164 eV/atom

CIF file:
```
data_TlCd4
_chemical_formula_sum 'Tl2 Cd8'
_space_group_name_H-M_alt 'I m m m'
_space_group_IT_number 71
_space_group_name_Hall '-I 2 2'
_cell_length_a 3.3255
_cell_length_b 4.4624
_cell_length_c 16.5886
_cell_angle_alpha 90.00
_cell_angle_beta 90.00
_cell_angle_gamma 90.00
loop_
_atom_site_label
_atom_site_type_symbol
_atom_site_fract_x
_atom_site_fract_y
_atom_site_fract_z
_atom_site_occupancy
Tl1 Tl 0.0000 0.0000 0.0000 1
Cd1 Cd 0.0000 0.0000 0.2019 1
Cd2 Cd 0.0000 0.0000 0.3903 1
```


No. 7
Compound: TlCd
Source: Alexandria
Functional: GGA-PBE
Structure: optimized geometry

formation energy: 0.06 eV/atom
final energy: -1.581 eV/atom

CIF file:
```
data_TlCd
_chemical_formula_sum 'Tl4 Cd4'
_space_group_name_H-M_alt 'P 1'
_space_group_IT_number 1
_cell_length_a 4.9121
_cell_length_b 6.1986
_cell_length_c 8.2742
_cell_angle_alpha 108.66
_cell_angle_beta 106.77
_cell_angle_gamma 90.06
loop_
_space_group_symop_operation_xyz
'x,y,z'
loop_
_atom_site_label
_atom_site_type_symbol
_atom_site_fract_x
_atom_site_fract_y
_atom_site_fract_z
_atom_site_occupancy
Tl1 Tl 0.0000 0.0000 0.0000 1
Tl2 Tl 0.0992 0.6137 0.1936 1
Tl3 Tl 0.4395 0.3193 0.8815 1
Tl4 Tl 0.7440 0.9046 0.4828 1
Cd1 Cd 0.2287 0.2366 0.4543 1
Cd2 Cd 0.3529 0.7754 0.7044 1
Cd3 Cd 0.6410 0.3135 0.2744 1
Cd4 Cd 0.8517 0.4814 0.7027 1
```


No. 8
Compound: TlCd
Source: Alexandria
Functional: GGA-PBE
Structure: optimized geometry

formation energy: 0.15 eV/atom
final energy: -1.489 eV/atom

CIF file:
```
data_TlCd
_chemical_formula_sum 'Tl4 Cd4'
_space_group_name_H-M_alt 'P 63/m m c'
_space_group_IT_number 194
_space_group_name_Hall '-P 6c 2c'
_cell_length_a 5.5139
_cell_length_b 5.5139
_cell_length_c 9.0376
_cell_angle_alpha 90.00
_cell_angle_beta 90.00
_cell_angle_gamma 120.00
loop_
_atom_site_label
_atom_site_type_symbol
_atom_site_fract_x
_atom_site_fract_y
_atom_site_fract_z
_atom_site_occupancy
Tl1 Tl 0.0000 0.0000 0.2500 1
Tl2 Tl 0.3333 0.6667 0.2500 1
Cd1 Cd 0.3333 0.6667 0.5821 1
```


No. 9
Compound: Tl4Cd
Source: Alexandria
Functional: GGA-PBE
Structure: optimized geometry

formation energy: 0.16 eV/atom
final energy: -1.918 eV/atom

CIF file:
```
data_Tl4Cd
_chemical_formula_sum 'Tl8 Cd2'
_space_group_name_H-M_alt 'I 4/m m m'
_space_group_IT_number 139
_space_group_name_Hall '-I 4 2'
_cell_length_a 4.4046
_cell_length_b 4.4046
_cell_length_c 16.9511
_cell_angle_alpha 90.00
_cell_angle_beta 90.00
_cell_angle_gamma 90.00
loop_
_atom_site_label
_atom_site_type_symbol
_atom_site_fract_x
_atom_site_fract_y
_atom_site_fract_z
_atom_site_occupancy
Tl1 Tl 0.0000 0.0000 0.0940 1
Tl2 Tl 0.0000 0.5000 0.2500 1
Cd1 Cd 0.0000 0.0000 0.5000 1
```


No. 10
Compound: TlCd6
Source: Alexandria
Functional: GGA-PBE
Structure: optimized geometry

formation energy: 0.33 eV/atom
final energy: -0.795 eV/atom

CIF file:
```
data_TlCd6
_chemical_formula_sum 'Tl2 Cd12'
_space_group_name_H-M_alt 'I m -3 m'
_space_group_IT_number 229
_space_group_name_Hall '-I 4 2 3'
_cell_length_a 7.9699
_cell_length_b 7.9699
_cell_length_c 7.9699
_cell_angle_alpha 90.00
_cell_angle_beta 90.00
_cell_angle_gamma 90.00
loop_
_atom_site_label
_atom_site_type_symbol
_atom_site_fract_x
_atom_site_fract_y
_atom_site_fract_z
_atom_site_occupancy
Tl1 Tl 0.0000 0.0000 0.0000 1
Cd1 Cd 0.0000 0.2500 0.5000 1
```


No. 11
Compound: Tl4Cd
Source: Alexandria
Functional: GGA-PBE
Structure: optimized geometry

formation energy: 0.04 eV/atom
final energy: -2.031 eV/atom

CIF file:
```
data_Tl4Cd
_chemical_formula_sum 'Tl8 Cd2'
_space_group_name_H-M_alt 'P -4 21 c'
_space_group_IT_number 114
_cell_length_a 6.7237
_cell_length_b 6.7237
_cell_length_c 6.7374
_cell_angle_alpha 90.00
_cell_angle_beta 90.00
_cell_angle_gamma 90.00
loop_
_space_group_symop_operation_xyz
'x,y,z'
'y,-x,-z'
'-x,-y,z'
'-y,x,-z'
'x+1/2,-y+1/2,-z+1/2'
'y+1/2,x+1/2,z+1/2'
'-x+1/2,y+1/2,-z+1/2'
'-y+1/2,-x+1/2,z+1/2'
loop_
_atom_site_label
_atom_site_type_symbol
_atom_site_fract_x
_atom_site_fract_y
_atom_site_fract_z
_atom_site_occupancy
Tl1 Tl 0.1066 0.2798 0.3610 1
Cd1 Cd 0.0000 0.0000 0.0000 1
```


No. 12
Compound: Tl7Cd
Source: Alexandria
Functional: GGA-PBE
Structure: optimized geometry

formation energy: 0.04 eV/atom
final energy: -2.147 eV/atom

CIF file:
```
data_Tl7Cd
_chemical_formula_sum 'Tl28 Cd4'
_space_group_name_H-M_alt 'F m -3 m'
_space_group_IT_number 225
_space_group_name_Hall '-F 4 2 3'
_cell_length_a 9.8406
_cell_length_b 9.8406
_cell_length_c 9.8406
_cell_angle_alpha 90.00
_cell_angle_beta 90.00
_cell_angle_gamma 90.00
loop_
_atom_site_label
_atom_site_type_symbol
_atom_site_fract_x
_atom_site_fract_y
_atom_site_fract_z
_atom_site_occupancy
Tl1 Tl 0.0000 0.0000 0.0000 1
Tl2 Tl 0.0000 0.2500 0.2500 1
Cd1 Cd 0.0000 0.0000 0.5000 1
```


No. 13
Compound: TlCd
Source: Alexandria
Functional: GGA-PBE
Structure: optimized geometry

formation energy: 0.06 eV/atom
final energy: -1.581 eV/atom

CIF file:
```
data_TlCd
_chemical_formula_sum 'Tl2 Cd2'
_space_group_name_H-M_alt 'C m m m'
_space_group_IT_number 65
_space_group_name_Hall '-C 2 2'
_cell_length_a 4.1450
_cell_length_b 5.3448
_cell_length_c 4.9992
_cell_angle_alpha 90.00
_cell_angle_beta 90.00
_cell_angle_gamma 90.00
loop_
_atom_site_label
_atom_site_type_symbol
_atom_site_fract_x
_atom_site_fract_y
_atom_site_fract_z
_atom_site_occupancy
Tl1 Tl 0.0000 0.0000 0.0000 1
Cd1 Cd 0.0000 0.5000 0.5000 1
```


No. 14
Compound: TlCd
Source: Alexandria
Functional: GGA-PBE
Structure: optimized geometry

formation energy: 0.06 eV/atom
final energy: -1.578 eV/atom

CIF file:
```
data_TlCd
_chemical_formula_sum 'Tl2 Cd2'
_space_group_name_H-M_alt 'C m m m'
_space_group_IT_number 65
_space_group_name_Hall '-C 2 2'
_cell_length_a 5.4189
_cell_length_b 5.9259
_cell_length_c 3.4650
_cell_angle_alpha 90.00
_cell_angle_beta 90.00
_cell_angle_gamma 90.00
loop_
_atom_site_label
_atom_site_type_symbol
_atom_site_fract_x
_atom_site_fract_y
_atom_site_fract_z
_atom_site_occupancy
Tl1 Tl 0.0000 0.0000 0.0000 1
Cd1 Cd 0.0000 0.5000 0.5000 1
```


No. 15
Compound: Tl5Cd2
Source: Alexandria
Functional: GGA-PBE
Structure: optimized geometry

formation energy: 0.02 eV/atom
final energy: -1.933 eV/atom

CIF file:
```
data_Tl5Cd2
_chemical_formula_sum 'Tl10 Cd4'
_space_group_name_H-M_alt 'I 4/m m m'
_space_group_IT_number 139
_space_group_name_Hall '-I 4 2'
_cell_length_a 3.4784
_cell_length_b 3.4784
_cell_length_c 32.9588
_cell_angle_alpha 90.00
_cell_angle_beta 90.00
_cell_angle_gamma 90.00
loop_
_atom_site_label
_atom_site_type_symbol
_atom_site_fract_x
_atom_site_fract_y
_atom_site_fract_z
_atom_site_occupancy
Tl1 Tl 0.0000 0.0000 0.0000 1
Tl2 Tl 0.0000 0.0000 0.1539 1
Tl3 Tl 0.0000 0.0000 0.4234 1
Cd1 Cd 0.0000 0.0000 0.2783 1
```


No. 16
Compound: TlCd
Source: Alexandria
Functional: GGA-PBE
Structure: optimized geometry

formation energy: 0.04 eV/atom
final energy: -1.606 eV/atom

CIF file:
```
data_TlCd
_chemical_formula_sum 'Tl4 Cd4'
_space_group_name_H-M_alt 'P -1'
_space_group_IT_number 2
_cell_length_a 6.0799
_cell_length_b 6.2696
_cell_length_c 6.6008
_cell_angle_alpha 91.62
_cell_angle_beta 93.08
_cell_angle_gamma 118.30
loop_
_space_group_symop_operation_xyz
'x,y,z'
'-x,-y,-z'
loop_
_atom_site_label
_atom_site_type_symbol
_atom_site_fract_x
_atom_site_fract_y
_atom_site_fract_z
_atom_site_occupancy
Tl1 Tl 0.0710 0.2645 0.1172 1
Tl2 Tl 0.2830 0.5152 0.6501 1
Cd1 Cd 0.2295 0.9718 0.4442 1
Cd2 Cd 0.4815 0.8081 0.1333 1
```


No. 17
Compound: TlCd
Source: Alexandria
Functional: GGA-PBE
Structure: optimized geometry

formation energy: 0.04 eV/atom
final energy: -1.598 eV/atom

CIF file:
```
data_TlCd
_chemical_formula_sum 'Tl4 Cd4'
_space_group_name_H-M_alt 'P 1 21/m 1'
_space_group_IT_number 11
_cell_length_a 6.7967
_cell_length_b 4.9244
_cell_length_c 6.9850
_cell_angle_alpha 90.00
_cell_angle_beta 109.94
_cell_angle_gamma 90.00
loop_
_space_group_symop_operation_xyz
'x,y,z'
'-x,-y,-z'
'-x,y+1/2,-z'
'x,-y+1/2,z'
loop_
_atom_site_label
_atom_site_type_symbol
_atom_site_fract_x
_atom_site_fract_y
_atom_site_fract_z
_atom_site_occupancy
Tl1 Tl 0.0516 0.2500 0.3500 1
Tl2 Tl 0.3039 0.2500 0.8853 1
Cd1 Cd 0.2210 0.7500 0.1544 1
Cd2 Cd 0.4434 0.7500 0.6154 1
```


No. 18
Compound: TlCd
Source: Alexandria
Functional: GGA-PBE
Structure: optimized geometry

formation energy: 0.41 eV/atom
final energy: -1.232 eV/atom

CIF file:
```
data_TlCd
_chemical_formula_sum 'Tl6 Cd6'
_space_group_name_H-M_alt 'P m -3 n'
_space_group_IT_number 223
_space_group_name_Hall '-P 4n 2 3'
_cell_length_a 8.4147
_cell_length_b 8.4147
_cell_length_c 8.4147
_cell_angle_alpha 90.00
_cell_angle_beta 90.00
_cell_angle_gamma 90.00
loop_
_atom_site_label
_atom_site_type_symbol
_atom_site_fract_x
_atom_site_fract_y
_atom_site_fract_z
_atom_site_occupancy
Tl1 Tl 0.0000 0.2500 0.5000 1
Cd1 Cd 0.0000 0.5000 0.2500 1
```


No. 19
Compound: Tl4Cd5
Source: Alexandria
Functional: GGA-PBE
Structure: optimized geometry

formation energy: 0.05 eV/atom
final energy: -1.514 eV/atom

CIF file:
```
data_Tl4Cd5
_chemical_formula_sum 'Tl8 Cd10'
_space_group_name_H-M_alt 'I 4/m m m'
_space_group_IT_number 139
_space_group_name_Hall '-I 4 2'
_cell_length_a 9.8889
_cell_length_b 9.8889
_cell_length_c 4.9292
_cell_angle_alpha 90.00
_cell_angle_beta 90.00
_cell_angle_gamma 90.00
loop_
_atom_site_label
_atom_site_type_symbol
_atom_site_fract_x
_atom_site_fract_y
_atom_site_fract_z
_atom_site_occupancy
Tl1 Tl 0.0000 0.3226 0.0000 1
Cd1 Cd 0.0000 0.0000 0.0000 1
Cd2 Cd 0.1608 0.1608 0.5000 1
```


No. 20
Compound: Tm7Tl4Cd
Source: Alexandria
Functional: GGA-PBE
Structure: optimized geometry

formation energy: -0.01 eV/atom
final energy: -3.487 eV/atom

CIF file:
```
data_Tm7Tl4Cd
_chemical_formula_sum 'Tm14 Tl8 Cd2'
_space_group_name_H-M_alt 'C 1 2/m 1'
_space_group_IT_number 12
_cell_length_a 14.4809
_cell_length_b 5.5905
_cell_length_c 11.0194
_cell_angle_alpha 90.00
_cell_angle_beta 127.34
_cell_angle_gamma 90.00
loop_
_space_group_symop_operation_xyz
'x,y,z'
'-x,-y,-z'
'-x,y,-z'
'x,-y,z'
'x+1/2,y+1/2,z'
'-x+1/2,-y+1/2,-z'
'-x+1/2,y+1/2,-z'
'x+1/2,-y+1/2,z'
loop_
_atom_site_label
_atom_site_type_symbol
_atom_site_fract_x
_atom_site_fract_y
_atom_site_fract_z
_atom_site_occupancy
Tm1 Tm 0.0000 0.0000 0.0000 1
Tm2 Tm 0.0718 0.5000 0.3254 1
Tm3 Tm 0.1577 0.0000 0.5885 1
Tm4 Tm 0.2143 0.5000 0.8700 1
Tl1 Tl 0.0717 0.0000 0.7791 1
Tl2 Tl 0.2101 0.0000 0.3383 1
Cd1 Cd 0.0000 0.5000 0.0000 1
```